a) An optimized crystal structure of YI2OF, computed with PBE-GGA.

```
5
Lattice="5.271 0.000 0.000 0.000 5.271 0.000 0.000 0.000 3.992" Properties=species:S:1:pos:R:3 pbc="T T T"
F 0.000 0.000 0.000
I 0.000 2.636 0.000
I 2.636 0.000 0.000
O 0.000 0.000 1.996
Y 2.636 2.636 1.996
```

- volume (A^3/atom) = 22.2
- calculated density (g cm⁻³) = 5.65

***

b) An optimized crystal structure of YI2OF, computed with PBE-GGA.

```
5
Lattice="6.231 0.000 0.000 0.000 6.231 0.000 0.000 0.000 4.121" Properties=species:S:1:pos:R:3 pbc="T T T"
I 3.116 0.000 0.000
I 0.000 3.116 0.000
Y 0.000 0.000 0.000
O 0.000 0.000 2.060
F 3.116 3.116 2.060
```

- volume (A^3/atom) = 32.0
- calculated density (g cm⁻³) = 3.92

***

Stability, descending: b), a)

***

a) An optimized crystal structure of ZnIOF2, computed with PBE-GGA.

```
5
Lattice="4.803 0.000 0.000 0.000 4.803 0.000 0.000 0.000 4.023" Properties=species:S:1:pos:R:3 pbc="T T T"
F 2.401 0.000 0.000
F 0.000 2.401 0.000
O 0.000 0.000 2.011
I 0.000 0.000 0.000
Zn 2.401 2.401 2.011
```

- volume (A^3/atom) = 18.6
- calculated density (g cm⁻³) = 4.41

***

b) An optimized crystal structure of ZnIOF2, computed with PBE-GGA.

```
5
Lattice="3.745 0.000 0.000 0.000 3.745 0.000 0.000 0.000 5.807" Properties=species:S:1:pos:R:3 pbc="T T T"
Zn 0.000 0.000 0.000
F 1.872 0.000 0.000
F 0.000 1.872 0.000
I 1.872 1.872 2.903
O 0.000 0.000 2.903
```

- volume (A^3/atom) = 16.3
- calculated density (g cm⁻³) = 5.02

***

Stability, descending: b), a)

***

a) An optimized crystal structure of ZnI2OF, computed with PBE-GGA.

```
5
Lattice="5.965 0.000 0.000 0.000 5.965 0.000 0.000 0.000 3.521" Properties=species:S:1:pos:R:3 pbc="T T T"
F 2.982 2.982 1.761
Zn 0.000 0.000 0.000
O 0.000 0.000 1.761
I 0.000 2.982 0.000
I 2.982 0.000 0.000
```

- volume (A^3/atom) = 25.1
- calculated density (g cm⁻³) = 4.70

***

b) An optimized crystal structure of ZnI2OF, computed with PBE-GGA.

```
5
Lattice="5.136 0.000 0.000 0.000 5.136 0.000 0.000 0.000 3.985" Properties=species:S:1:pos:R:3 pbc="T T T"
I 2.568 0.000 0.000
I 0.000 2.568 0.000
F 0.000 0.000 0.000
O 0.000 0.000 1.993
Zn 2.568 2.568 1.993
```

- volume (A^3/atom) = 21.0
- calculated density (g cm⁻³) = 5.59

***

Stability, descending: a), b)

***

a) An optimized crystal structure of ZrIOF2, computed with PBE-GGA.

```
5
Lattice="-3.875 2.257 2.418 -2.800 -0.256 -4.248 -1.370 -3.547 1.117" Properties=species:S:1:pos:R:3 pbc="T T T"
O -0.685 -1.774 0.558
I 0.000 0.000 0.000
F -1.400 -0.128 -2.124
F -1.937 1.129 1.209
Zr -4.022 -0.773 -0.357
```

- volume (A^3/atom) = 20.6
- calculated density (g cm⁻³) = 4.39

***

b) An optimized crystal structure of ZrIOF2, computed with PBE-GGA.

```
5
Lattice="-0.451 -3.854 2.144 2.328 1.623 3.407 -3.526 1.386 1.750" Properties=species:S:1:pos:R:3 pbc="T T T"
F 1.164 0.811 1.703
F -0.225 -1.927 1.072
O -1.763 0.693 0.875
Zr 0.000 0.000 0.000
I -0.825 -0.423 3.650
```

- volume (A^3/atom) = 16.4
- calculated density (g cm⁻³) = 5.51

***

Stability, descending: b), a)

***

a) An optimized crystal structure of OsI2F, computed with PBE-GGA.

```
8
Lattice="-1.757 -2.778 -5.902 -4.882 -3.494 3.098 -6.392 0.465 -2.182" Properties=species:S:1:pos:R:3 pbc="T T T"
I -4.811 -2.323 0.848
I -10.764 -5.254 -3.988
I -3.364 -2.148 -4.042
I -7.123 -1.888 -2.791
F -3.320 -3.136 -1.402
F -7.297 -3.082 -0.243
Os -5.734 -2.724 -4.743
Os 0.000 0.000 0.000
```

- volume (A^3/atom) = 27.4
- calculated density (g cm⁻³) = 7.02

***

b) An optimized crystal structure of OsI2F, computed with PBE-GGA.

```
4
Lattice="2.904 -3.383 -1.529 2.801 -2.255 3.046 -0.849 -4.505 1.091" Properties=species:S:1:pos:R:3 pbc="T T T"
F 0.000 0.000 0.000
Os 2.428 -5.072 1.304
I 1.214 -2.536 0.652
I 3.642 -7.607 1.956
```

- volume (A^3/atom) = 18.5
- calculated density (g cm⁻³) = 10.39

***

Stability, descending: a), b)

***

a) An optimized crystal structure of OsI2F2, computed with PBE-GGA.

```
10
Lattice="-4.540 -3.837 -4.515 2.576 -6.401 2.850 -2.260 0.074 2.209" Properties=species:S:1:pos:R:3 pbc="T T T"
F -1.687 -7.972 0.804
F -2.538 -2.192 -0.261
F -4.144 -5.760 -1.784
F -0.080 -4.404 2.328
I -1.907 -7.523 -1.698
I -0.057 -2.716 0.033
I 0.677 -6.384 0.907
I -2.642 -3.854 -2.573
Os 0.000 0.000 0.000
Os -0.982 -5.119 -0.833
```

- volume (A^3/atom) = 17.6
- calculated density (g cm⁻³) = 9.09

***

b) An optimized crystal structure of OsI2F2, computed with PBE-GGA.

```
5
Lattice="-0.756 0.267 3.412 0.627 -3.425 0.407 6.509 -0.214 3.260" Properties=species:S:1:pos:R:3 pbc="T T T"
F 2.844 -0.763 4.291
F 3.536 -2.609 2.788
Os 0.000 0.000 0.000
I 4.932 -2.107 4.859
I 1.449 -1.265 2.221
```

- volume (A^3/atom) = 16.8
- calculated density (g cm⁻³) = 9.51

***

Stability, descending: b), a)

***

a) An optimized crystal structure of SbOsI2F, computed with PBE-GGA.

```
5
Lattice="5.479 0.000 0.000 0.000 5.479 0.000 0.000 0.000 4.148" Properties=species:S:1:pos:R:3 pbc="T T T"
Sb 0.000 0.000 2.074
I 2.739 0.000 0.000
I 0.000 2.739 0.000
Os 2.739 2.739 2.074
F 0.000 0.000 0.000
```

- volume (A^3/atom) = 24.9
- calculated density (g cm⁻³) = 7.80

***

b) An optimized crystal structure of SbOsI2F, computed with PBE-GGA.

```
5
Lattice="5.467 0.000 0.000 0.000 5.467 0.000 0.000 0.000 5.033" Properties=species:S:1:pos:R:3 pbc="T T T"
Os 0.000 0.000 0.000
I 0.000 2.734 0.000
I 2.734 0.000 0.000
Sb 0.000 0.000 2.516
F 2.734 2.734 2.516
```

- volume (A^3/atom) = 30.1
- calculated density (g cm⁻³) = 6.46

***

Stability, descending: b), a)

***

a) An optimized crystal structure of TeOsI2F, computed with PBE-GGA.

```
5
Lattice="5.510 0.000 0.000 0.000 5.510 0.000 0.000 0.000 4.991" Properties=species:S:1:pos:R:3 pbc="T T T"
I 2.755 0.000 0.000
I 0.000 2.755 0.000
Te 0.000 0.000 2.496
F 2.755 2.755 2.496
Os 0.000 0.000 0.000
```

- volume (A^3/atom) = 30.3
- calculated density (g cm⁻³) = 6.47

***

b) An optimized crystal structure of TeOsI2F, computed with PBE-GGA.

```
5
Lattice="5.753 0.000 0.000 0.000 5.753 0.000 0.000 0.000 4.207" Properties=species:S:1:pos:R:3 pbc="T T T"
I 0.000 2.877 0.000
I 2.877 0.000 0.000
Os 2.877 2.877 2.103
Te 0.000 0.000 2.103
F 0.000 0.000 0.000
```

- volume (A^3/atom) = 27.8
- calculated density (g cm⁻³) = 7.04

***

Stability, descending: a), b)